# Mn2BeFeF PBE with a Hubbard U relaxed
# uncorrected energy: -5.11 eV/atom
# DOS(E_F): 1.228 states/eV per cell
data_Mn2BeFeF
_cell_length_a 4.667
_cell_length_b 4.667
_cell_length_c 3.317
_cell_angle_alpha 90.00
_cell_angle_beta 90.00
_cell_angle_gamma 90.00
_space_group_name_H-M_alt 'P 4/m m m'
_space_group_IT_number 123
_space_group_name_Hall '-P 4 2'
loop_
_atom_site_label
_atom_site_type_symbol
_atom_site_fract_x
_atom_site_fract_y
_atom_site_fract_z
Mn1 Mn 0.000 0.500 0.000
Be1 Be 0.000 0.000 0.500
Fe1 Fe 0.500 0.500 0.500
F1 F 0.000 0.000 0.000